Record 1
Density functional theory data (PBE) for crystalline Ca2RuW at its relaxed geometry.

Cell: 8.2770 8.2770 8.2770 Å, 29.20 29.20 29.20°
Last column: nearest neighbours and their distance in Å.
Element x y z (fractional)
Ca1 0.0000 0.0000 0.0000  3 W 3.15, 3 Ru 3.36
Ca2 0.1816 0.1816 0.1816  3 Ru 3.11, 3 W 3.32
Ru1 0.4322 0.4322 0.4322  3 W 2.43
W1 0.7523 0.7523 0.7523  3 Ru 2.43

Values from the calculation:
ΔE_f   0.2994 eV per atom
Crystal system   trigonal
Distance to the lowest polymorph of the same formula   0.029 eV per atom



Record 2
Density functional theory data (PBE) for crystalline PuMg2Cu at its relaxed geometry.

Cell: 3.0793 3.0793 10.0434 Å, 98.16 98.16 60.83°
Last column: nearest neighbours and their distance in Å.
Element x y z (fractional)
Pu1 0.0000 0.0000 0.0000  6 Pu 3.08-3.12, 6 Mg 3.38-3.42
Mg1 0.5635 0.5635 0.7091  3 Cu 2.74-2.76
Mg2 0.7520 0.7520 0.2895  3 Cu 2.73-2.75
Cu1 0.1570 0.1570 0.4988  6 Mg 2.73-2.76

Values from the calculation:
ΔE_f   0.1329 eV per atom
Crystal system   monoclinic



Record 3
Density functional theory data (PBE) for crystalline ErSc3As4 at its relaxed geometry.

Cell: 6.8104 6.8104 3.9370 Å, 90.00 90.00 109.48°
Last column: nearest neighbours and their distance in Å.
Element x y z (fractional)
Er1 0.0000 0.0000 0.0000  6 As 2.83
Sc1 0.0000 0.5000 0.5000  6 As 2.78
Sc2 0.5000 0.0000 0.5000  6 As 2.78
Sc3 0.5000 0.5000 0.0000  6 As 2.73
As1 0.2543 0.7457 0.0000  5 Sc 2.73-2.78, 1 Er 2.83
As2 0.2587 0.2587 0.5000  4 Sc 2.73-2.78, 2 Er 2.83
As3 0.7413 0.7413 0.5000  4 Sc 2.73-2.78, 2 Er 2.83
As4 0.7457 0.2543 0.0000  5 Sc 2.73-2.78, 1 Er 2.83

Values from the calculation:
ΔE_f   -1.4015 eV per atom
Crystal system   orthorhombic



Record 4
Density functional theory data (PBE) for crystalline SrMnTl2 at its relaxed geometry.

Cell: 3.8415 5.1778 5.9141 Å, 90.00 90.09 90.00°
Last column: nearest neighbours and their distance in Å.
Element x y z (fractional)
Sr1 0.0000 0.0000 0.0000  8 Tl 3.42-3.63, 4 Mn 3.61
Mn1 0.4982 0.5000 0.7243  4 Tl 2.86-3.00
Tl1 0.5005 0.0000 0.5200  2 Mn 2.86, 2 Tl 3.15
Tl2 0.5008 0.5000 0.2168  2 Mn 2.91-3.00, 2 Tl 3.15

Values from the calculation:
ΔE_f   0.1747 eV per atom
Crystal system   monoclinic



Record 5
Density functional theory data (PBE) for crystalline NaCaRu2 at its relaxed geometry.

Cell: 6.1555 6.1555 5.5426 Å, 98.45 98.45 54.97°
Last column: nearest neighbours and their distance in Å.
Element x y z (fractional)
Na1 0.2201 0.2201 0.3867  6 Ru 2.96-3.28, 2 Ca 3.11-3.15, 2 Na 3.13
Na2 0.7799 0.7799 0.6133  6 Ru 2.96-3.28, 2 Ca 3.11-3.15, 2 Na 3.13
Ca1 0.3551 0.3551 0.9344  4 Na 3.11-3.38, 1 Ca 3.13, 7 Ru 3.25-3.47
Ca2 0.6449 0.6449 0.0656  4 Na 3.11-3.38, 1 Ca 3.13, 7 Ru 3.25-3.47
Ru1 0.0482 0.0482 0.8186  3 Ru 2.42
Ru2 0.2932 0.7068 0.5000  3 Ru 2.35-2.42
Ru3 0.7068 0.2932 0.5000  3 Ru 2.35-2.42
Ru4 0.9518 0.9518 0.1814  3 Ru 2.42

Values from the calculation:
ΔE_f   0.2822 eV per atom
Crystal system   monoclinic
Distance to the lowest polymorph of the same formula   0.118 eV per atom



Record 6
Density functional theory data (PBE) for crystalline Rb2Ba3F8 at its relaxed geometry.

Cell: 8.4998 8.4998 4.4338 Å, 90.00 90.00 107.29°
Last column: nearest neighbours and their distance in Å.
Element x y z (fractional)
Rb1 0.2350 0.7650 0.0000  4 F 2.80-3.12
Rb2 0.7650 0.2350 0.0000  4 F 2.80-3.12
Ba1 0.2062 0.2062 0.5000  6 F 2.57-2.70
Ba2 0.5000 0.5000 0.0000  8 F 2.64-2.74
Ba3 0.7938 0.7938 0.5000  6 F 2.57-2.70
F1 0.1105 0.8895 0.5000  2 Ba 2.57, 2 Rb 2.80
F2 0.1641 0.3707 0.0000  3 Ba 2.70-2.74, 1 F 2.83
F3 0.3707 0.1641 0.0000  3 Ba 2.70-2.74, 1 F 2.83
F4 0.3958 0.6042 0.5000  2 Ba 2.64, 1 F 2.85
F5 0.6042 0.3958 0.5000  2 Ba 2.64, 1 F 2.85
F6 0.6293 0.8359 0.0000  3 Ba 2.70-2.74, 1 F 2.83
F7 0.8359 0.6293 0.0000  3 Ba 2.70-2.74, 1 F 2.83
F8 0.8895 0.1105 0.5000  2 Ba 2.57, 2 Rb 2.80

Values from the calculation:
Crystal system   orthorhombic
Formation energy from raw total energies   -3.386 eV per atom



Record 7
Density functional theory data (PBE) for crystalline Pr2MgIn6 at its relaxed geometry.

Cell: 6.5938 6.5938 6.2959 Å, 90.00 90.00 120.00°
Last column: nearest neighbours and their distance in Å.
Element x y z (fractional)
Pr1 0.3333 0.6667 0.3503  12 In 3.46-3.75
Pr2 0.6667 0.3333 0.6497  12 In 3.46-3.75
Mg1 0.0000 0.0000 0.5000  6 In 2.90
In1 0.1796 0.3591 0.8246  1 Mg 2.90, 4 In 3.01-3.04
In2 0.1796 0.8204 0.8246  1 Mg 2.90, 4 In 3.01-3.04
In3 0.3591 0.1796 0.1754  1 Mg 2.90, 4 In 3.01-3.04
In4 0.6409 0.8204 0.8246  1 Mg 2.90, 4 In 3.01-3.04
In5 0.8204 0.1796 0.1754  1 Mg 2.90, 4 In 3.01-3.04
In6 0.8204 0.6409 0.1754  1 Mg 2.90, 4 In 3.01-3.04

Values from the calculation:
ΔE_f   -0.3694 eV per atom
Crystal system   trigonal



Record 8
Density functional theory data (PBE) for crystalline NaDyHgBi at its relaxed geometry.

Cell: 5.3667 5.3667 5.3667 Å, 60.00 60.00 60.00°
Last column: nearest neighbours and their distance in Å.
Element x y z (fractional)
Na1 0.0000 0.0000 0.0000  4 Hg 3.29, 4 Bi 3.29
Dy1 0.5000 0.5000 0.5000  4 Hg 3.29, 4 Bi 3.29
Hg1 0.7500 0.7500 0.7500  4 Dy 3.29, 4 Na 3.29
Bi1 0.2500 0.2500 0.2500  4 Dy 3.29, 4 Na 3.29

Values from the calculation:
ΔE_f   -0.4012 eV per atom
Crystal system   cubic



Record 9
Density functional theory data (PBE) for crystalline LaNdTm2Bi4 at its relaxed geometry.

Cell: 7.8539 4.5582 7.8872 Å, 90.00 109.56 90.00°
Last column: nearest neighbours and their distance in Å.
Element x y z (fractional)
La1 0.0000 0.0000 0.0000  6 Bi 3.29
Nd1 0.0000 0.5000 0.5000  6 Bi 3.27
Tm1 0.5000 0.0000 0.5000  6 Bi 3.15
Tm2 0.5000 0.5000 0.0000  6 Bi 3.17
Bi1 0.2634 0.0000 0.7526  3 Tm 3.15-3.17, 2 Nd 3.27, 1 La 3.29
Bi2 0.2647 0.5000 0.2568  3 Tm 3.15-3.17, 1 Nd 3.27, 2 La 3.29
Bi3 0.7353 0.5000 0.7432  3 Tm 3.15-3.17, 1 Nd 3.27, 2 La 3.29
Bi4 0.7366 0.0000 0.2474  3 Tm 3.15-3.17, 2 Nd 3.27, 1 La 3.29

Values from the calculation:
ΔE_f   -0.8876 eV per atom
Crystal system   monoclinic



Record 10
Density functional theory data (PBE) for crystalline K3Rh5Se12 at its relaxed geometry.

Cell: 13.8228 13.8228 13.8228 Å, 109.47 109.47 109.47°
Last column: nearest neighbours and their distance in Å.
Element x y z (fractional)
K1 0.1250 0.2500 0.3750  8 Se 3.12-3.42
K2 0.1250 0.3750 0.7500  8 Se 3.12-3.42
K3 0.2500 0.3750 0.1250  8 Se 3.12-3.42
K4 0.2500 0.8750 0.6250  8 Se 3.12-3.42
K5 0.3750 0.1250 0.2500  8 Se 3.12-3.42
K6 0.3750 0.7500 0.1250  8 Se 3.12-3.42
K7 0.6250 0.2500 0.8750  8 Se 3.12-3.42
K8 0.6250 0.8750 0.7500  8 Se 3.12-3.42
K9 0.7500 0.1250 0.3750  8 Se 3.12-3.42
K10 0.7500 0.6250 0.8750  8 Se 3.12-3.42
K11 0.8750 0.6250 0.2500  8 Se 3.12-3.42
K12 0.8750 0.7500 0.6250  8 Se 3.12-3.42
Rh1 0.0000 0.0000 0.0000  6 Se 2.55
Rh2 0.0000 0.0000 0.5000  6 Se 2.55
Rh3 0.0000 0.5000 0.0000  6 Se 2.55
Rh4 0.0000 0.5000 0.5000  6 Se 2.55
Rh5 0.1250 0.7500 0.8750  4 Se 2.36
Rh6 0.1250 0.8750 0.2500  4 Se 2.36
Rh7 0.2500 0.1250 0.8750  4 Se 2.36
Rh8 0.2500 0.6250 0.3750  4 Se 2.36
Rh9 0.3750 0.2500 0.6250  4 Se 2.36
Rh10 0.3750 0.6250 0.7500  4 Se 2.36
Rh11 0.5000 0.0000 0.0000  6 Se 2.55
Rh12 0.5000 0.0000 0.5000  6 Se 2.55
Rh13 0.5000 0.5000 0.0000  6 Se 2.55
Rh14 0.5000 0.5000 0.5000  6 Se 2.55
Rh15 0.6250 0.3750 0.2500  4 Se 2.36
Rh16 0.6250 0.7500 0.3750  4 Se 2.36
Rh17 0.7500 0.3750 0.6250  4 Se 2.36
Rh18 0.7500 0.8750 0.1250  4 Se 2.36
Rh19 0.8750 0.1250 0.7500  4 Se 2.36
Rh20 0.8750 0.2500 0.1250  4 Se 2.36
Se1 0.0126 0.2002 0.0912  2 Rh 2.36-2.55
Se2 0.0126 0.3124 0.9215  2 Rh 2.36-2.55
Se3 0.0785 0.5912 0.3909  2 Rh 2.36-2.55
Se4 0.0785 0.9874 0.6876  2 Rh 2.36-2.55
Se5 0.0912 0.0126 0.2002  2 Rh 2.36-2.55
Se6 0.0912 0.5785 0.8909  2 Rh 2.36-2.55
Se7 0.1091 0.7002 0.6876  2 Rh 2.36-2.55
Se8 0.1091 0.9088 0.4215  2 Rh 2.36-2.55
Se9 0.1876 0.2002 0.6091  2 Rh 2.36-2.55
Se10 0.1876 0.4874 0.5785  2 Rh 2.36-2.55
Se11 0.2002 0.0912 0.0126  2 Rh 2.36-2.55
Se12 0.2002 0.6091 0.1876  2 Rh 2.36-2.55
Se13 0.2998 0.3124 0.8909  2 Rh 2.36-2.55
Se14 0.2998 0.4874 0.4088  2 Rh 2.36-2.55
Se15 0.3124 0.8909 0.2998  2 Rh 2.36-2.55
Se16 0.3124 0.9215 0.0126  2 Rh 2.36-2.55
Se17 0.3909 0.0785 0.5912  2 Rh 2.36-2.55
Se18 0.3909 0.8124 0.7998  2 Rh 2.36-2.55
Se19 0.4088 0.2998 0.4874  2 Rh 2.36-2.55
Se20 0.4088 0.6091 0.9215  2 Rh 2.36-2.55
Se21 0.4215 0.1091 0.9088  2 Rh 2.36-2.55
Se22 0.4215 0.8124 0.5126  2 Rh 2.36-2.55
Se23 0.4874 0.4088 0.2998  2 Rh 2.36-2.55
Se24 0.4874 0.5785 0.1876  2 Rh 2.36-2.55
Se25 0.5126 0.4215 0.8124  2 Rh 2.36-2.55
Se26 0.5126 0.5912 0.7002  2 Rh 2.36-2.55
Se27 0.5785 0.1876 0.4874  2 Rh 2.36-2.55
Se28 0.5785 0.8909 0.0912  2 Rh 2.36-2.55
Se29 0.5912 0.3909 0.0785  2 Rh 2.36-2.55
Se30 0.5912 0.7002 0.5126  2 Rh 2.36-2.55
Se31 0.6091 0.1876 0.2002  2 Rh 2.36-2.55
Se32 0.6091 0.9215 0.4088  2 Rh 2.36-2.55
Se33 0.6876 0.0785 0.9874  2 Rh 2.36-2.55
Se34 0.6876 0.1091 0.7002  2 Rh 2.36-2.55
Se35 0.7002 0.5126 0.5912  2 Rh 2.36-2.55
Se36 0.7002 0.6876 0.1091  2 Rh 2.36-2.55
Se37 0.7998 0.3909 0.8124  2 Rh 2.36-2.55
Se38 0.7998 0.9088 0.9874  2 Rh 2.36-2.55
Se39 0.8124 0.5126 0.4215  2 Rh 2.36-2.55
Se40 0.8124 0.7998 0.3909  2 Rh 2.36-2.55
Se41 0.8909 0.0912 0.5785  2 Rh 2.36-2.55
Se42 0.8909 0.2998 0.3124  2 Rh 2.36-2.55
Se43 0.9088 0.4215 0.1091  2 Rh 2.36-2.55
Se44 0.9088 0.9874 0.7998  2 Rh 2.36-2.55
Se45 0.9215 0.0126 0.3124  2 Rh 2.36-2.55
Se46 0.9215 0.4088 0.6091  2 Rh 2.36-2.55
Se47 0.9874 0.6876 0.0785  2 Rh 2.36-2.55
Se48 0.9874 0.7998 0.9088  2 Rh 2.36-2.55

Values from the calculation:
Crystal system   cubic
Formation energy from raw total energies   -0.309 eV per atom



Record 11
Density functional theory data (PBE) for crystalline NdDySe at its relaxed geometry.

Cell: 3.9275 3.9275 6.6866 Å, 90.00 90.00 120.00°
Last column: nearest neighbours and their distance in Å.
Element x y z (fractional)
Nd1 0.0000 0.0000 0.0000  3 Se 2.98
Dy1 0.6667 0.3333 0.4468  3 Se 2.88
Se1 0.3333 0.6667 0.7113  3 Dy 2.88, 3 Nd 2.98

Values from the calculation:
Crystal system   trigonal
Distance to the lowest polymorph of the same formula   0.000 eV per atom
Formation energy from raw total energies   -1.103 eV per atom



Record 12
Density functional theory data (PBE) for crystalline YHf2ScN at its relaxed geometry.

Cell: 4.4770 4.4770 4.9785 Å, 90.00 90.00 90.00°
Last column: nearest neighbours and their distance in Å.
Element x y z (fractional)
Y1 0.0000 0.0000 0.0000  2 N 2.49
Hf1 0.0000 0.5000 0.5000  2 N 2.24
Hf2 0.5000 0.0000 0.5000  2 N 2.24
Sc1 0.5000 0.5000 0.0000  4 Y 3.17, 8 Hf 3.35
N1 0.0000 0.0000 0.5000  4 Hf 2.24, 2 Y 2.49

Values from the calculation:
Crystal system   tetragonal
Distance to the lowest polymorph of the same formula   0.000 eV per atom
Formation energy from raw total energies   -0.616 eV per atom



Record 13
Density functional theory data (PBE) for crystalline BaCd2Cl6 at its relaxed geometry.

Cell: 6.8721 6.8721 6.7382 Å, 90.00 90.00 120.00°
Last column: nearest neighbours and their distance in Å.
Element x y z (fractional)
Ba1 0.0000 0.0000 0.0000  6 Cl 3.12
Cd1 0.3333 0.6667 0.5000  6 Cl 2.66
Cd2 0.6667 0.3333 0.5000  6 Cl 2.66
Cl1 0.0000 0.3669 0.7260  2 Cd 2.66
Cl2 0.0000 0.6331 0.2740  2 Cd 2.66
Cl3 0.3669 0.0000 0.7260  2 Cd 2.66
Cl4 0.3669 0.3669 0.2740  2 Cd 2.66
Cl5 0.6331 0.0000 0.2740  2 Cd 2.66
Cl6 0.6331 0.6331 0.7260  2 Cd 2.66

Values from the calculation:
Crystal system   trigonal
Distance to the lowest polymorph of the same formula   0.000 eV per atom
Formation energy from raw total energies   -1.557 eV per atom



The volume results, record by record, are as follows: 29.84; 20.50; 21.52; 29.41; 21.20; 23.53; 26.34; 27.32; 33.26; 25.41; 29.77; 19.96; 30.62 A^3/atom.
The raw total energy results, record by record, are as follows: -6.259; -5.271; -6.671; -3.721; -5.186; -5.130; -3.434; -2.927; -5.158; -4.402; -5.388; -8.822; -3.205 eV per atom.